Below is a relaxed structure of CoSCl2O, with properties calculated at the PBE+U level.

**Magnetization**: 2.2 μB/f.u.
**SG**: No. 123
**Offset from the most stable computed form**: 0 meV per atom

Lattice parameters (Å, degrees): 4.7329 4.7329 4.3421 90.00 90.00 90.00
With the nearest neighbours (Å) after each atom.
Positions (direct):
1 Co 0.0000 0.0000 0.0000  2 S 2.17, 4 Cl 2.37
2 Cl 0.0000 0.5000 0.0000  2 Co 2.37
3 Cl 0.5000 0.0000 0.0000  2 Co 2.37
4 S 0.0000 0.0000 0.5000  2 Co 2.17
5 O 0.5000 0.5000 0.5000  8 Cl 3.21, 4 S 3.35